*w*
{
  "formula": "RbRe3I",
  "functional": "PBE-GGA",
  "state": "relaxed",
  "cell": [[5.0015, 0.0000, 0.0000], [0.0000, 5.0015, 0.0000], [0.0000, 0.0000, 5.0015]],
  "species": ["Re", "Re", "Rb", "I", "Re"],
  "frac_coords": [[0.5000, 0.0000, 0.0000], [0.0000, 0.5000, 0.0000], [0.5000, 0.5000, 0.5000], [0.0000, 0.0000, 0.0000], [0.0000, 0.0000, 0.5000]],
  "spacegroup": "Pm-3m, No. 221",
  "dos_at_fermi_per_ev_atom": 1.405
}

*x*
{
  "formula": "RbRe3I",
  "functional": "PBE-GGA",
  "state": "relaxed",
  "cell": [[-0.3776, -3.4171, 3.4366], [2.1270, -3.2141, -2.9622], [4.3546, 1.2736, 1.7449]],
  "species": ["Re", "Rb", "Re", "Re", "I"],
  "frac_coords": [[0.0000, 0.5000, 0.0000], [0.0000, 0.0000, 0.0000], [0.5000, 0.0000, 0.0000], [0.0000, 0.0000, 0.5000], [0.5000, 0.5000, 0.5000]],
  "spacegroup": "Pm-3m, No. 221",
  "dos_at_fermi_per_ev_atom": 1.774
}

Unit: meV per atom. Relative energies: *w* 0; *x* 1473.

*w*
{
  "formula": "RbReI2",
  "functional": "PBE-GGA",
  "state": "relaxed",
  "cell": [[0.0000, 4.2357, 4.2357], [4.2357, 0.0000, 4.2357], [4.2357, 4.2357, 0.0000]],
  "species": ["Rb", "Re", "I", "I"],
  "frac_coords": [[0.0000, 0.0000, 0.0000], [0.5000, 0.5000, 0.5000], [0.2500, 0.2500, 0.2500], [0.7500, 0.7500, 0.7500]],
  "spacegroup": "Fm-3m, No. 225",
  "dos_at_fermi_per_ev_atom": 0.005
}

*x*
{
  "formula": "RbReI2",
  "functional": "PBE-GGA",
  "state": "relaxed",
  "cell": [[8.6138, 0.0000, 0.0000], [0.0000, 8.6138, 0.0000], [4.3069, 4.3069, 3.8665]],
  "species": ["Rb", "I", "I", "I", "Re", "Re", "I", "Rb"],
  "frac_coords": [[0.2500, 0.7500, 0.5000], [0.8750, 0.9935, 0.7500], [0.3750, 0.2565, 0.7500], [0.7435, 0.1250, 0.2500], [0.7500, 0.2500, 0.5000], [0.0000, 0.0000, 0.0000], [0.0065, 0.6250, 0.2500], [0.5000, 0.5000, 0.0000]],
  "spacegroup": "I-42d, No. 122",
  "dos_at_fermi_per_ev_atom": 0.177
}

Unit: meV per atom. Relative energies: *w* 412; *x* 0.

*w*
{
  "formula": "RbReSbI2",
  "functional": "PBE-GGA",
  "state": "relaxed",
  "cell": [[-5.3896, 1.0003, 2.2996], [0.2021, -5.2602, 2.7617], [2.1510, 2.2219, 4.0747]],
  "species": ["Re", "Sb", "Rb", "I", "I"],
  "frac_coords": [[0.0000, 0.0000, 0.0000], [0.0000, 0.0000, 0.5000], [0.5000, 0.5000, 0.5000], [0.5000, 0.0000, 0.0000], [0.0000, 0.5000, 0.0000]],
  "spacegroup": "P4/mmm, No. 123",
  "dos_at_fermi_per_ev_atom": 0.563
}

*x*
{
  "formula": "RbReSbI2",
  "functional": "PBE-GGA",
  "state": "relaxed",
  "cell": [[-6.4886, -2.2716, -0.3741], [2.2832, -6.2059, -1.9173], [0.2897, -1.8941, 6.4756]],
  "species": ["Rb", "I", "Sb", "Re", "I"],
  "frac_coords": [[0.0000, 0.0000, 0.0000], [0.0000, 0.5000, 0.0000], [0.0000, 0.0000, 0.5000], [0.5000, 0.5000, 0.5000], [0.5000, 0.0000, 0.0000]],
  "spacegroup": "P4/mmm, No. 123",
  "dos_at_fermi_per_ev_atom": 0.684
}

Unit: meV per atom. Relative energies: *w* 0; *x* 1457.

*w*
{
  "formula": "RbReTeI2",
  "functional": "PBE-GGA",
  "state": "relaxed",
  "cell": [[-1.7384, 5.9133, -2.5427], [0.3819, -2.5344, -6.1552], [-6.2167, -1.6936, 0.3116]],
  "species": ["Rb", "I", "I", "Te", "Re"],
  "frac_coords": [[0.0000, 0.0000, 0.0000], [0.5000, 0.0000, 0.0000], [0.0000, 0.5000, 0.0000], [0.0000, 0.0000, 0.5000], [0.5000, 0.5000, 0.5000]],
  "spacegroup": "P4/mmm, No. 123",
  "dos_at_fermi_per_ev_atom": 2.457
}

*x*
{
  "formula": "RbReTeI2",
  "functional": "PBE-GGA",
  "state": "relaxed",
  "cell": [[5.8886, 0.0000, 0.0000], [0.0000, 5.8886, 0.0000], [0.0000, 0.0000, 5.0979]],
  "species": ["I", "Re", "Rb", "I", "Te"],
  "frac_coords": [[0.5000, 0.0000, 0.0000], [0.0000, 0.0000, 0.0000], [0.5000, 0.5000, 0.5000], [0.0000, 0.5000, 0.0000], [0.0000, 0.0000, 0.5000]],
  "spacegroup": "P4/mmm, No. 123",
  "dos_at_fermi_per_ev_atom": 0.522
}

Unit: meV per atom. Relative energies: *w* 1479; *x* 0.

*w*
{
  "formula": "RbRhI2",
  "functional": "PBE-GGA",
  "state": "relaxed",
  "cell": [[7.2136, 0.0000, 0.0000], [0.0000, 7.2136, 0.0000], [3.6068, 3.6068, 6.8151]],
  "species": ["I", "Rb", "I", "Rb", "Rh", "I", "Rh", "I"],
  "frac_coords": [[0.3750, 0.2539, 0.7500], [0.5000, 0.5000, 0.0000], [0.8750, 0.9961, 0.7500], [0.2500, 0.7500, 0.5000], [0.7500, 0.2500, 0.5000], [0.7461, 0.1250, 0.2500], [0.0000, 0.0000, 0.0000], [0.0039, 0.6250, 0.2500]],
  "spacegroup": "I-42d, No. 122",
  "dos_at_fermi_per_ev_atom": 0.762
}

*x*
{
  "formula": "RbRhI2",
  "functional": "PBE-GGA",
  "state": "relaxed",
  "cell": [[-1.9199, -3.8223, 0.1326], [0.2625, -2.6438, -3.3548], [7.6112, -6.1251, 2.6931]],
  "species": ["Rh", "I", "Rb", "I"],
  "frac_coords": [[0.5000, 0.5000, 0.5000], [0.8815, 0.8815, 0.3554], [0.0000, 0.0000, 0.0000], [0.1185, 0.1185, 0.6446]],
  "spacegroup": "R-3m, No. 166",
  "dos_at_fermi_per_ev_atom": 0.613
}

*y*
{
  "formula": "RbRhI2",
  "functional": "PBE-GGA",
  "state": "relaxed",
  "cell": [[0.0000, 4.0026, 4.0026], [4.0026, 0.0000, 4.0026], [4.0026, 4.0026, 0.0000]],
  "species": ["Rh", "I", "Rb", "I"],
  "frac_coords": [[0.5000, 0.5000, 0.5000], [0.2500, 0.2500, 0.2500], [0.0000, 0.0000, 0.0000], [0.7500, 0.7500, 0.7500]],
  "spacegroup": "Fm-3m, No. 225",
  "dos_at_fermi_per_ev_atom": 0.893
}

Unit: meV per atom. Relative energies: *w* 0; *x* 233; *y* 415.

*w*
{
  "formula": "Rb2RhI",
  "functional": "PBE-GGA",
  "state": "relaxed",
  "cell": [[7.0957, 0.0000, 0.0000], [0.0000, 7.0957, 0.0000], [3.5478, 3.5478, 9.9433]],
  "species": ["I", "Rb", "Rh", "Rb", "I", "Rb", "Rh", "Rb"],
  "frac_coords": [[0.7500, 0.2500, 0.5000], [0.8750, 0.8550, 0.7500], [0.2500, 0.7500, 0.5000], [0.3750, 0.3950, 0.7500], [0.0000, 0.0000, 0.0000], [0.6050, 0.1250, 0.2500], [0.5000, 0.5000, 0.0000], [0.1450, 0.6250, 0.2500]],
  "spacegroup": "I-42d, No. 122",
  "dos_at_fermi_per_ev_atom": 0.251
}

*x*
{
  "formula": "Rb2RhI",
  "functional": "PBE-GGA",
  "state": "relaxed",
  "cell": [[4.5609, 1.8480, 3.5216], [-1.1637, 2.7415, 5.2677], [1.1449, -2.8518, 5.2129]],
  "species": ["I", "Rb", "Rb", "Rh"],
  "frac_coords": [[0.5000, 0.5000, 0.5000], [0.2500, 0.2500, 0.2500], [0.7500, 0.7500, 0.7500], [0.0000, 0.0000, 0.0000]],
  "spacegroup": "Fm-3m, No. 225",
  "dos_at_fermi_per_ev_atom": 2.013
}

Unit: meV per atom. Relative energies: *w* 94; *x* 0.

*w*
{
  "formula": "RbTe2RhI",
  "functional": "PBE-GGA",
  "state": "relaxed",
  "cell": [[-1.6520, -3.3359, 3.7511], [0.1766, -3.9851, -3.4663], [5.6545, -1.0800, 1.5298]],
  "species": ["I", "Rh", "Rb", "Te", "Te"],
  "frac_coords": [[0.0000, 0.0000, 0.5000], [0.0000, 0.0000, 0.0000], [0.5000, 0.5000, 0.5000], [0.5000, 0.0000, 0.0000], [0.0000, 0.5000, 0.0000]],
  "spacegroup": "P4/mmm, No. 123",
  "dos_at_fermi_per_ev_atom": 1.265
}

*x*
{
  "formula": "RbTe2RhI",
  "functional": "PBE-GGA",
  "state": "relaxed",
  "cell": [[6.6675, 0.0000, 0.0000], [0.0000, 6.6675, 0.0000], [0.0000, 0.0000, 6.6618]],
  "species": ["Rb", "I", "Te", "Rh", "Te"],
  "frac_coords": [[0.0000, 0.0000, 0.0000], [0.0000, 0.0000, 0.5000], [0.5000, 0.0000, 0.0000], [0.5000, 0.5000, 0.5000], [0.0000, 0.5000, 0.0000]],
  "spacegroup": "P4/mmm, No. 123",
  "dos_at_fermi_per_ev_atom": 1.580
}

Unit: meV per atom. Relative energies: *w* 0; *x* 1615.

*w*
{
  "formula": "RbRuI2",
  "functional": "PBE-GGA",
  "state": "relaxed",
  "cell": [[-5.2659, -5.6852, -3.7903], [6.7625, -3.6513, -3.9185], [1.1809, -7.0404, -0.8974]],
  "species": ["I", "I", "Ru", "Rb", "I", "Ru", "Rb", "I"],
  "frac_coords": [[0.3750, 0.2639, 0.7500], [0.0139, 0.6250, 0.2500], [0.7500, 0.2500, 0.5000], [0.5000, 0.5000, 0.0000], [0.8750, 0.9861, 0.7500], [0.0000, 0.0000, 0.0000], [0.2500, 0.7500, 0.5000], [0.7361, 0.1250, 0.2500]],
  "spacegroup": "I-42d, No. 122",
  "dos_at_fermi_per_ev_atom": 0.557
}

*x*
{
  "formula": "RbRuI2",
  "functional": "PBE-GGA",
  "state": "relaxed",
  "cell": [[5.3916, -1.4772, -0.9687], [1.3130, -5.4204, -1.0414], [1.6179, -1.5776, -5.2041]],
  "species": ["I", "Ru", "I", "Rb"],
  "frac_coords": [[0.2500, 0.2500, 0.2500], [0.5000, 0.5000, 0.5000], [0.7500, 0.7500, 0.7500], [0.0000, 0.0000, 0.0000]],
  "spacegroup": "Fm-3m, No. 225",
  "dos_at_fermi_per_ev_atom": 0.000
}

Unit: meV per atom. Relative energies: *w* 0; *x* 405.